CaGeB2Sb | PBE-GGA | relaxed

Cell lengths 4.735, 4.735, 5.769 Å; angles 90.00, 90.00, 90.00 degrees
Space group P4/mmm (No. 123)
One atom of each set of equivalent atoms:
Ca 0.000 0.000 0.000
Ge 0.500 0.500 0.500
B 0.000 0.500 0.000
Sb 0.000 0.000 0.500

Crystal system ... tetragonal
E ... -14.3 eV per formula unit



Sr2CaGeB | PBE-GGA | relaxed

Cell lengths 6.767, 6.767, 3.809 Å; angles 90.00, 90.00, 90.00 degrees
Space group P4/mmm (No. 123)
One atom of each set of equivalent atoms:
Sr 0.000 0.500 0.000
Ca 0.000 0.000 0.500
Ge 0.500 0.500 0.000
B 0.500 0.500 0.500

Crystal system ... tetragonal
Formation energy ... 44.3 kJ/mol of atoms
E ... -14.4 eV per formula unit



CaTc2GeB | PBE-GGA | relaxed

Cell lengths 4.769, 4.769, 4.031 Å; angles 90.00, 90.00, 90.00 degrees
Space group P4/mmm (No. 123)
One atom of each set of equivalent atoms:
Ca 0.000 0.000 0.000
Tc 0.000 0.500 0.500
Ge 0.500 0.500 0.500
B 0.500 0.500 0.000

Crystal system ... tetragonal
Formation energy ... 111.0 kJ/mol of atoms
E ... -28.3 eV per formula unit



CaZnGeB2 | PBE-GGA | relaxed

Cell lengths 4.176, 4.176, 5.557 Å; angles 90.00, 90.00, 90.00 degrees
Space group P4/mmm (No. 123)
One atom of each set of equivalent atoms:
Ca 0.000 0.000 0.000
Zn 0.500 0.500 0.000
Ge 0.000 0.000 0.500
B 0.000 0.500 0.500

Crystal system ... tetragonal
Formation energy ... 110.7 kJ/mol of atoms
E ... -15.5 eV per formula unit